A plane-wave DFT calculation with PBE-GGA was carried out for a geometry-optimized BeNi2Te structure.

Properties
ρ   7635 kg/m³
Fermi-level density of states   0.397 states/eV/atom
Formation energy (no corrections)   -0.03 eV/atom
Size of the total moment   0.000 μB per atom
Excess energy over the best structure of this formula in the dataset   0 kJ/mol of formula units

Cell lengths 3.798, 3.798, 4.961 Å; angles 66.98, 66.98, 59.89 degrees
Positions (direct):
Ni: 0.944 0.944 0.168
Ni: 0.721 0.721 0.839
Te: 0.511 0.511 0.464
Be: 0.324 0.324 0.029

=====

A plane-wave DFT calculation with PBE-GGA was carried out for a geometry-optimized CoRe structure.

Properties
ρ   15739 kg/m³
Fermi-level density of states   1.169 states/eV/atom
Formation energy from the elements   0.1418 eV per atom
Size of the total moment   0.550 μB per atom

Cell lengths 3.063, 3.063, 5.514 Å; angles 90.00, 90.00, 90.00 degrees
Each line ends with the local moment (μB).
Positions (direct):
Co: 0.000 0.000 0.028  1.11
Co: 0.500 0.500 0.222  1.11
Re: 0.000 0.000 0.487  0.00
Re: 0.500 0.500 0.763  0.00

=====

Copy entry 1 word for word.
A plane-wave DFT calculation with PBE-GGA was carried out for a geometry-optimized BeNi2Te structure.

Properties
ρ   7635 kg/m³
Fermi-level density of states   0.397 states/eV/atom
Formation energy (no corrections)   -0.03 eV/atom
Size of the total moment   0.000 μB per atom
Excess energy over the best structure of this formula in the dataset   0 kJ/mol of formula units

Cell lengths 3.798, 3.798, 4.961 Å; angles 66.98, 66.98, 59.89 degrees
Positions (direct):
Ni: 0.944 0.944 0.168
Ni: 0.721 0.721 0.839
Te: 0.511 0.511 0.464
Be: 0.324 0.324 0.029

=====

- What is the formula in the second record?
  CoRe

=====

- Which value of Fermi-level density of states does entry 2 give?
  1.169 states/eV/atom

=====

- Among the records above, which one has the highest size of the total moment?
  CoRe